PBE-GGA BaAg2GeSe2S2, optimized geometry; space group = No. 5; calculated total energy = -4.1691 eV/atom
1.0
5.4520 -3.5137 0.0000
5.4520 3.5137 0.0000
-4.4579 0.0000 5.4361
Ba S Se Ge Ag
1 2 2 1 2
Direct
0.9909 0.0091 0.0000 Ba
0.5358 0.1514 0.5327 S
0.8486 0.4642 0.4673 S
0.4681 0.8491 0.8516 Se
0.1509 0.5319 0.1484 Se
0.5128 0.4872 0.5000 Ge
0.7462 0.7533 0.2636 Ag
0.2467 0.2538 0.7364 Ag